No. 1
Computed, not measured: a relaxed structure of LiCrReIr at the PBE level of DFT.

```
LiCrReIr
1.0
4.228 0.000 0.000
2.114 3.661 0.000
2.114 1.220 3.452
Re Ir Li Cr
1 1 1 1
Direct
0.250 0.250 0.250 Re
0.000 0.000 0.000 Ir
0.750 0.750 0.750 Li
0.500 0.500 0.500 Cr
```

- Energy of formation: 0.056 eV/atom
- Magnetic moment: 1.0 μB per cell
- Calculated volume: 13.4 A^3/atom

---

No. 2
Computed, not measured: a relaxed structure of U3Ni8Pt at the PBE level of DFT.

```
U3Ni8Pt
1.0
-4.703 1.299 0.547
-2.644 -1.855 3.698
-0.195 5.992 6.125
U Ni Pt
3 8 1
Direct
0.377 0.377 0.869 U
0.995 0.995 0.014 U
0.502 0.502 0.493 U
0.938 0.437 0.189 Ni
0.440 0.938 0.684 Ni
0.437 0.437 0.189 Ni
0.938 0.938 0.684 Ni
0.188 0.188 0.437 Ni
0.688 0.688 0.937 Ni
0.437 0.938 0.189 Ni
0.938 0.440 0.684 Ni
0.873 0.873 0.381 Pt
```

- Energy of formation: -0.324 eV/atom
- Magnetic moment: 4.2 μB per cell
- Calculated volume: 14.1 A^3/atom

---

No. 3
Computed, not measured: a relaxed structure of Cs5Hg4Bi2 at the PBE level of DFT.

```
Cs5Hg4Bi2
1.0
9.135 0.000 0.000
4.568 6.106 0.549
4.568 2.354 10.032
Cs Hg Bi
5 4 2
Direct
0.161 0.324 0.865 Cs
0.839 0.676 0.135 Cs
0.000 0.500 0.500 Cs
0.650 0.324 0.865 Cs
0.350 0.676 0.135 Cs
0.374 0.705 0.546 Hg
0.626 0.295 0.454 Hg
0.672 0.919 0.738 Hg
0.328 0.081 0.262 Hg
0.172 0.877 0.778 Bi
0.828 0.123 0.222 Bi
```

- Energy of formation: -0.205 eV/atom
- Magnetic moment: 0.0 μB per cell
- Calculated volume: 49.8 A^3/atom

---

No. 4
Computed, not measured: a relaxed structure of K2TiTlBr6 at the PBE level of DFT.

```
K2TiTlBr6
1.0
-5.884 -5.343 0.000
1.675 -7.755 0.489
-1.722 -4.013 6.855
K Ti Tl Br
2 1 1 6
Direct
0.536 0.536 0.391 K
0.025 0.025 0.924 K
0.324 0.324 0.029 Ti
0.815 0.815 0.554 Tl
0.544 0.206 0.245 Br
0.206 0.006 0.245 Br
0.006 0.544 0.245 Br
0.438 0.647 0.794 Br
0.647 0.121 0.794 Br
0.121 0.438 0.794 Br
```

- Formation energy (no corrections): -1331.5 meV/atom
- Magnetic moment: 1.0 μB per cell
- Calculated volume: 36.7 A^3/atom

---

No. 5
Computed, not measured: a relaxed structure of TbYTlH at the PBE level of DFT.

```
TbYTlH
1.0
-2.671 -2.457 -0.977
1.724 -2.668 1.994
-2.896 4.197 4.593
Tb Y Tl H
1 1 1 1
Direct
0.976 0.435 0.953 Tb
0.666 0.124 0.332 Y
0.321 0.779 0.642 Tl
0.572 0.530 0.143 H
```

- Total energy: -4.689 eV/atom
- Magnetic moment: 0.0 μB per cell
- Calculated volume: 22.3 A^3/atom

---

No. 6
Computed, not measured: a relaxed structure of Sm5Al2Sn at the PBE level of DFT.

```
Sm5Al2Sn
1.0
8.166 0.000 0.000
0.000 8.166 0.000
-4.083 -4.083 6.932
Sm Al Sn
10 4 2
Direct
0.522 0.683 0.705 Sm
0.817 0.978 0.295 Sm
0.000 0.000 0.000 Sm
0.500 0.500 0.000 Sm
0.183 0.022 0.705 Sm
0.683 0.183 0.705 Sm
0.022 0.522 0.705 Sm
0.317 0.817 0.295 Sm
0.978 0.478 0.295 Sm
0.478 0.317 0.295 Sm
0.121 0.379 0.000 Al
0.621 0.121 0.000 Al
0.379 0.879 0.000 Al
0.879 0.621 0.000 Al
0.750 0.750 0.500 Sn
0.250 0.250 0.500 Sn
```

- Energy of formation: -0.422 eV/atom
- Magnetic moment: 0.0 μB per cell
- Calculated volume: 28.9 A^3/atom